# 1
VASP calculation (PBE) on AcTb3Tl2 after structural relaxation.

Values from the calculation:
As for the crystal system: monoclinic. Its formation energy from the elements is -16.9 kJ/mol of atoms. Its space-group type is C2/m.

Lattice parameters (Å, degrees): 5.4942 9.6176 9.4105 123.90 90.00 106.60
Atoms (fractional coordinates):
Tl  0.4926  0.9852  0.1517
Tb  0.0630  0.1260  0.4126
Tl  0.2219  0.4437  0.8394
Tb  0.3857  0.7714  0.3033
Tb  0.3047  0.6095  0.5941
Ac  0.8689  0.7377  0.9154
Tb  0.9370  0.8740  0.5874
Tb  0.6143  0.2286  0.6967
Tl  0.5074  0.0148  0.8483
Tb  0.6953  0.3905  0.4059
Ac  0.1311  0.2623  0.0846
Tl  0.7781  0.5563  0.1606

---

# 2
VASP calculation (PBE) on LiCuP2 after structural relaxation.

Values from the calculation:
As for the crystal system: monoclinic. Its formation energy from the elements is -0.6 kJ/mol of atoms. Its space-group type is C2/m. The calculation puts the energy above the most stable polymorph in this dataset at 158.3 meV per atom.

Lattice parameters (Å, degrees): 4.6003 4.6003 2.6577 87.13 87.13 106.99
Atoms (fractional coordinates):
Cu  0.5000  0.0000  0.5000
P  0.5000  0.5000  0.0000
Li  0.0000  0.5000  0.5000
P  0.0000  0.0000  0.0000

---

formation energy from the elements of number 2 (LiCuP2)? -0.6 kJ/mol of atoms